(1)
# Zn3HgO3

A geometry-optimized Zn3HgO3 structure (PBE, Alexandria via LeMat-Bulk).

size of the total moment: 0.00 μB per cell
E_form (uncorrected): -1.09 eV/atom
energy above the lowest structure with this stoichiometry: 0.0 meV/atom
DFT total energy: -3.8053 eV per atom

Lattice parameters (Å, degrees): 5.8323 5.8323 25.7223 90.00 90.00 120.00
Closest atoms and distances in Å follow each position.
Space group R-3 (No. 148, hexagonal axes)
Inequivalent atoms, fractional coordinates:
Zn: 0.0014 0.3341 0.4551 x18  3 O 1.94
Hg: 0.0000 0.0000 0.3274 x6  3 Hg 3.38, 6 O 3.53-3.78, 3 Zn 3.55
O: 0.0007 0.6658 0.7869 x18  3 Zn 1.94



(2)
# Mg5NbRh6

A geometry-optimized Mg5NbRh6 structure (PBE, Alexandria via LeMat-Bulk).

size of the total moment: 0.00 μB per cell
E_form: -0.573 eV per atom
DFT total energy: -5.7526 eV per atom

Lattice parameters (Å, degrees): 4.4287 6.2768 6.9808 90.00 108.62 90.00
Closest atoms and distances in Å follow each position.
Space group P2/m (No. 10)
Inequivalent atoms, fractional coordinates:
Mg: 0.0000 0.0000 0.0000 x1  8 Rh 2.67-2.74
Mg: 0.3298 0.5000 0.6590 x2  8 Rh 2.70-2.73
Mg: 0.3330 0.0000 0.6655 x2  8 Rh 2.72-2.75
Nb: 0.0000 0.5000 0.0000 x1  8 Rh 2.65-2.69
Rh: 0.1622 0.2527 0.3251 x4  1 Nb 2.65, 7 Mg 2.67-2.75
Rh: 0.5000 0.2557 0.0000 x2  2 Nb 2.69, 6 Mg 2.73-2.74



(3)
# TiZn5Au

A geometry-optimized TiZn5Au structure (PBE, Alexandria via LeMat-Bulk).

size of the total moment: 0.00 μB per cell
E_form: -0.081 eV per atom
DFT total energy: -2.5873 eV per atom

Lattice parameters (Å, degrees): 3.9000 3.9000 7.7631 90.00 90.00 90.00
Closest atoms and distances in Å follow each position.
Space group P4/mmm (No. 123)
Inequivalent atoms, fractional coordinates:
Ti: 0.0000 0.0000 0.0000 x1  12 Zn 2.76-2.80
Zn: 0.0000 0.5000 0.2591 x4  2 Au 2.70, 6 Zn 2.76-2.80, 2 Ti 2.80
Zn: 0.5000 0.5000 0.0000 x1  4 Ti 2.76, 8 Zn 2.80
Au: 0.5000 0.5000 0.5000 x1  8 Zn 2.70



(4)
# Zr2Mn2Os

A geometry-optimized Zr2Mn2Os structure (PBE, Alexandria via LeMat-Bulk).

size of the total moment: 11.40 μB per cell
E_form: 0.415 eV per atom
energy above the lowest structure with this stoichiometry: 501.4 meV/atom
DFT total energy: -8.9182 eV per atom

Lattice parameters (Å, degrees): 7.2501 7.2501 3.4084 90.00 90.00 90.00
Closest atoms and distances in Å follow each position.
Space group P4/mbm (No. 127)
Inequivalent atoms, fractional coordinates:
Zr: 0.1662 0.3338 0.0000 x4  6 Mn 2.68-2.76, 2 Os 2.70
Mn: 0.1316 0.6316 0.5000 x4  6 Zr 2.68-2.76, 1 Mn 2.70
Os: 0.0000 0.0000 0.0000 x2  4 Zr 2.70



(5)
# TaCoBr2

A geometry-optimized TaCoBr2 structure (PBE, Alexandria via LeMat-Bulk).

size of the total moment: 0.00 μB per cell
E_form (uncorrected): -0.02 eV/atom
energy above the lowest structure with this stoichiometry: 254.8 meV/atom
DFT total energy: -5.5961 eV per atom

Lattice parameters (Å, degrees): 15.3266 3.2898 3.8982 90.00 91.75 90.00
Closest atoms and distances in Å follow each position.
Space group C2/m (No. 12)
Inequivalent atoms, fractional coordinates:
Ta: 0.0000 0.0000 0.0000 x2  4 Co 2.55, 4 Br 2.73
Co: 0.0000 0.5000 0.5000 x2  2 Br 2.38, 4 Ta 2.55
Br: 0.1336 0.5000 0.2065 x4  1 Co 2.38



(6)
# Cs2LaCoBr6

A geometry-optimized Cs2LaCoBr6 structure (PBE, Alexandria via LeMat-Bulk).

size of the total moment: 8.00 μB per cell
E_form (uncorrected): -1.46 eV/atom
DFT total energy: -3.8352 eV per atom

Lattice parameters (Å, degrees): 11.1975 11.1975 11.1975 90.00 90.00 90.00
Closest atoms and distances in Å follow each position.
Space group Fm-3m (No. 225)
Inequivalent atoms, fractional coordinates:
Cs: 0.2500 0.2500 0.2500 x8  12 Br 3.96
La: 0.0000 0.0000 0.0000 x4  6 Br 2.94
Co: 0.0000 0.0000 0.5000 x4  6 Br 2.66
Br: 0.0000 0.0000 0.2625 x24  1 Co 2.66, 1 La 2.94